No. 1
Density functional theory data (PBE) for BH4Cl after structural relaxation.

Values from the calculation:
SG   Ama2
Total DFT energy (no corrections)   -43.53 eV/cell
Size of the total moment   0.000 μB/atom

a = 9.2877 Å, b = 4.3906 Å, c = 4.3906 Å
α = 117.19°, β = 90.00°, γ = 90.00°
Fractional coordinates of all 12 atoms:
1 B 0.2500 0.0503 0.9497
2 B 0.7500 0.9497 0.0503
3 H 0.2038 0.7520 0.9555
4 H 0.2500 0.0272 0.6708
5 H 0.2500 0.2842 0.2280
6 H 0.2962 0.7520 0.9555
7 H 0.7038 0.9555 0.7520
8 H 0.7500 0.2280 0.2842
9 H 0.7500 0.6708 0.0272
10 H 0.7962 0.9555 0.7520
11 Cl 0.0000 0.9065 0.9065
12 Cl 0.5000 0.9065 0.9065

---

No. 2
Density functional theory data (PBE) for B2H6Cl after structural relaxation.

Values from the calculation:
SG   C2/c
Total DFT energy (no corrections)   -68.86 eV/cell
Size of the total moment   0.111 μB/atom

a = 7.8885 Å, b = 7.8885 Å, c = 3.4864 Å
α = 97.17°, β = 97.17°, γ = 77.75°
Fractional coordinates of all 18 atoms:
1 B 0.1010 0.2363 0.0991
2 B 0.2363 0.1010 0.5991
3 B 0.7637 0.8990 0.4009
4 B 0.8990 0.7637 0.9009
5 H 0.0537 0.7403 0.9929
6 H 0.0857 0.1635 0.4086
7 H 0.1635 0.0857 0.9086
8 H 0.1729 0.3559 0.1411
9 H 0.2597 0.9463 0.5071
10 H 0.3559 0.1729 0.6411
11 H 0.6441 0.8271 0.3589
12 H 0.7403 0.0537 0.4929
13 H 0.8271 0.6441 0.8589
14 H 0.8365 0.9143 0.0914
15 H 0.9143 0.8365 0.5914
16 H 0.9463 0.2597 0.0071
17 Cl 0.4052 0.5948 0.7500
18 Cl 0.5948 0.4052 0.2500

---

Short version: relative energy among the computed polymorphs = 0.000, 0.000 eV per atom, in the order given.